Below is Be3AlH at its PBEsol-relaxed geometry, with properties calculated at the SCAN level.

a = 4.374 Å, b = 4.374 Å, c = 4.374 Å
α = 90.00°, β = 90.00°, γ = 90.00°
Space group Pm-3m (No. 221)
Inequivalent atoms, fractional coordinates:
Be: 0.000 0.000 0.500 [3 per cell]
Al: 0.000 0.000 0.000 [1 per cell]
H: 0.500 0.500 0.500 [1 per cell]

Values from the calculation:
DFT total energy, eV/atom: -3.367
Magnetic moment, μB/f.u.: 0.2